{
  "formula": "NpVFe2O6",
  "functional": "PBE+U",
  "state": "optimized geometry",
  "space_group": "P2_1/c (14)",
  "dos_ef_per_ev_atom": 0.6358,
  "final_energy_ev_per_atom": -8.1817,
  "lattice": [[-1.697, 5.164, -0.333], [-1.379, -0.113, 5.270], [7.298, 2.526, 1.965]],
  "species": ["O", "O", "O", "O", "O", "O", "O", "O", "O", "O", "O", "O", "Fe", "Fe", "Fe", "Fe", "V", "V", "Np", "Np"],
  "frac_coords": [[0.671, 0.329, 0.564], [0.329, 0.671, 0.436], [0.380, 0.908, 0.759], [0.341, 0.682, 0.071], [0.620, 0.092, 0.241], [0.171, 0.171, 0.064], [0.120, 0.408, 0.741], [0.841, 0.818, 0.571], [0.829, 0.829, 0.936], [0.880, 0.592, 0.259], [0.659, 0.318, 0.929], [0.159, 0.182, 0.429], [0.985, 0.969, 0.252], [0.485, 0.531, 0.752], [0.015, 0.031, 0.748], [0.515, 0.469, 0.248], [0.500, 0.000, 0.000], [0.000, 0.500, 0.500], [0.000, 0.500, 0.000], [0.500, 0.000, 0.500]]
}